Tl3TcCl8 | PBE | optimized geometry

Output
SG ... P6_3mc, No. 186
Energy relative to the elements, uncorrected ... -0.8048 eV per atom

Cell lengths 9.1605, 9.1605, 9.7744 Å; angles 90.00, 90.00, 120.00 degrees
Element x y z (fractional)
Tl1 0.1524 0.3048 0.0000
Tl2 0.1524 0.8476 0.0000
Tl3 0.3048 0.1524 0.5000
Tl4 0.6952 0.8476 0.0000
Tl5 0.8476 0.1524 0.5000
Tl6 0.8476 0.6952 0.5000
Tc1 0.3333 0.6667 0.5050
Tc2 0.6667 0.3333 0.0050
Cl1 0.0000 0.0000 0.2860
Cl2 0.0000 0.0000 0.7860
Cl3 0.0902 0.5451 0.3706
Cl4 0.2110 0.4219 0.6432
Cl5 0.2110 0.7890 0.6432
Cl6 0.3333 0.6667 0.0427
Cl7 0.4219 0.2110 0.1432
Cl8 0.4549 0.5451 0.3706
Cl9 0.4549 0.9098 0.3706
Cl10 0.5451 0.0902 0.8706
Cl11 0.5451 0.4549 0.8706
Cl12 0.5781 0.7890 0.6432
Cl13 0.6667 0.3333 0.5427
Cl14 0.7890 0.2110 0.1432
Cl15 0.7890 0.5781 0.1432
Cl16 0.9098 0.4549 0.8706